Record 1
Density functional theory data (GGA-PBE) for a relaxed structure of Nd6DyY.

a b c (Å): 7.340 10.286 14.614
angles (deg): 90.00 90.00 90.00
Space group Fmmm (No. 69)
Unique sites:
Nd: 0.000 0.000 0.249 x8
Nd: 0.250 0.250 0.124 x16
Dy: 0.000 0.000 0.000 x4
Y: 0.000 0.000 0.500 x4

Results
- ρ: 6.7 g/cm3
- V: 34.48 A^3/atom
- Total magnetization: 0.00 μB per cell
- Energy of formation: 0.118 eV/f.u.


Record 2
Density functional theory data (GGA-PBE) for a relaxed structure of HfMoIr6.

a b c (Å): 5.569 5.569 3.909
angles (deg): 90.00 90.00 90.00
Space group P4/mmm (No. 123)
Unique sites:
Hf: 0.000 0.000 0.000 x1
Mo: 0.500 0.500 0.000 x1
Ir: 0.000 0.500 0.000 x2
Ir: 0.258 0.258 0.500 x4

Results
- ρ: 19.6 g/cm3
- V: 15.15 A^3/atom
- Total magnetization: 0.00 μB per cell
- Energy of formation: -4.549 eV/f.u.


Record 3
Density functional theory data (GGA-PBE) for a relaxed structure of Li3Ge3Pt2.

a b c (Å): 4.246 9.649 13.161
angles (deg): 90.00 90.00 90.00
Space group Cmcm (No. 63)
Unique sites:
Li: 0.000 0.077 0.107 x8
Li: 0.000 0.332 0.250 x4
Ge: 0.000 0.376 0.040 x8
Ge: 0.000 0.388 0.750 x4
Pt: 0.000 0.214 0.613 x8

Results
- Distance to the lowest polymorph of the same formula: 0.0 kJ/mol of atoms
- ρ: 7.7 g/cm3
- V: 16.85 A^3/atom
- Total magnetization: 0.00 μB per cell
- Energy of formation: -4.014 eV/f.u.


Record 4
Density functional theory data (GGA-PBE) for a relaxed structure of TbTm5Se6.

a b c (Å): 6.979 12.113 6.962
angles (deg): 90.00 109.57 90.00
Space group C2/m (No. 12)
Unique sites:
Tb: 0.000 0.000 0.000 x2
Tm: 0.000 0.162 0.500 x4
Tm: 0.000 0.334 0.000 x4
Tm: 0.000 0.500 0.500 x2
Se: 0.245 0.500 0.250 x4
Se: 0.246 0.330 0.746 x8

Results
- ρ: 8.8 g/cm3
- V: 23.11 A^3/atom
- E_form (uncorrected): -1678 meV/atom
- Total magnetization: 0.00 μB per cell